14
Lattice="5.8054 -6.5053 0.0000 5.8054 6.5053 0.0000 -2.1792 0.0000 6.2784" Properties=species:S:1:pos:R:3 comment="Pr5YCd PBE relaxed" space_group="No. 15" formation_enthalpy_0k_kj_per_mol_fu=0 pbc="T T T"
Pr 3.4260 2.2763 1.1416
Pr 1.6736 1.0889 3.9009
Pr 4.1710 3.6826 4.7088
Pr 2.7632 -1.0889 0.7618
Pr 7.0953 2.2763 1.9976
Pr 2.3364 -2.2763 4.2808
Pr 6.6685 1.0889 5.5166
Pr 5.2606 -3.6826 1.5696
Pr 7.7580 -1.0889 2.3774
Pr 6.0057 -2.2763 5.1368
Y 5.2606 5.6299 1.5696
Y 4.1710 -5.6299 4.7088
Cd 5.8054 0.0000 0.0000
Cd 4.7158 0.0000 3.1392

=====

16
Lattice="2.3295 -5.1934 0.0000 2.3295 5.1934 0.0000 0.0000 0.0000 11.0349" Properties=species:S:1:pos:R:3 comment="Hf5B2N PBE relaxed" space_group="No. 63" formation_energy_uncorrected_ev_per_fu=-4.5 pbc="T T T"
Hf 2.3295 4.6310 6.8507
Hf 2.3295 4.6310 9.7016
Hf 2.3295 2.4121 2.7587
Hf 2.3295 1.6077 6.3488
Hf 2.3295 1.6077 10.2035
Hf 2.3295 -1.6077 0.8313
Hf 2.3295 -1.6077 4.6861
Hf 2.3295 -2.4121 8.2761
Hf 2.3295 -4.6310 1.3332
Hf 2.3295 -4.6310 4.1842
B 2.3295 3.4989 0.6943
B 2.3295 3.4989 4.8231
B 2.3295 -3.4989 6.2117
B 2.3295 -3.4989 10.3405
N 2.3295 2.8797 8.2761
N 2.3295 -2.8797 2.7587

=====

6
Lattice="2.8118 0.0000 0.0000 0.0000 3.8482 0.0000 0.0000 0.0000 8.4906" Properties=species:S:1:pos:R:3 comment="RuRhAu PBE relaxed" e_above_lowest_polymorph_mev_per_atom=96 space_group="No. 44" formation_enthalpy_0k_kj_per_mol_fu=79 pbc="T T T"
Ru 0.0000 0.0000 0.0000
Ru 1.4059 1.9241 4.2453
Rh 0.0000 0.0000 2.9887
Rh 1.4059 1.9241 7.2340
Au 0.0000 0.0000 5.7331
Au 1.4059 1.9241 1.4878

=====

14
Lattice="6.0271 0.0000 0.0000 0.0000 6.5656 0.0000 -2.7861 0.0000 11.1729" Properties=species:S:1:pos:R:3 comment="Tb2PmEr4 PBE relaxed" e_above_lowest_polymorph_mev_per_atom=91 space_group="No. 11" formation_enthalpy_0k_kj_per_mol_fu=87 pbc="T T T"
Tb -0.7522 1.6414 5.4659
Tb 1.9095 4.9242 0.5631
Tb 1.3315 1.6414 10.6097
Tb 3.9932 4.9242 5.7070
Pm 0.9985 4.9242 7.1045
Pm 2.2425 1.6414 4.0684
Er -1.2620 0.0516 8.8308
Er -1.2620 3.2312 8.8308
Er 1.1158 1.6414 0.8841
Er 1.2134 4.9242 3.7409
Er 2.0276 1.6414 7.4320
Er 2.1252 4.9242 10.2888
Er 4.5030 3.3344 2.3420
Er 4.5030 6.5140 2.3420

=====

Please write out number 1 again, unchanged.
14
Lattice="5.8054 -6.5053 0.0000 5.8054 6.5053 0.0000 -2.1792 0.0000 6.2784" Properties=species:S:1:pos:R:3 comment="Pr5YCd PBE relaxed" space_group="No. 15" formation_enthalpy_0k_kj_per_mol_fu=0 pbc="T T T"
Pr 3.4260 2.2763 1.1416
Pr 1.6736 1.0889 3.9009
Pr 4.1710 3.6826 4.7088
Pr 2.7632 -1.0889 0.7618
Pr 7.0953 2.2763 1.9976
Pr 2.3364 -2.2763 4.2808
Pr 6.6685 1.0889 5.5166
Pr 5.2606 -3.6826 1.5696
Pr 7.7580 -1.0889 2.3774
Pr 6.0057 -2.2763 5.1368
Y 5.2606 5.6299 1.5696
Y 4.1710 -5.6299 4.7088
Cd 5.8054 0.0000 0.0000
Cd 4.7158 0.0000 3.1392

=====

What did the fourth record say?
14
Lattice="6.0271 0.0000 0.0000 0.0000 6.5656 0.0000 -2.7861 0.0000 11.1729" Properties=species:S:1:pos:R:3 comment="Tb2PmEr4 PBE relaxed" e_above_lowest_polymorph_mev_per_atom=91 space_group="No. 11" formation_enthalpy_0k_kj_per_mol_fu=87 pbc="T T T"
Tb -0.7522 1.6414 5.4659
Tb 1.9095 4.9242 0.5631
Tb 1.3315 1.6414 10.6097
Tb 3.9932 4.9242 5.7070
Pm 0.9985 4.9242 7.1045
Pm 2.2425 1.6414 4.0684
Er -1.2620 0.0516 8.8308
Er -1.2620 3.2312 8.8308
Er 1.1158 1.6414 0.8841
Er 1.2134 4.9242 3.7409
Er 2.0276 1.6414 7.4320
Er 2.1252 4.9242 10.2888
Er 4.5030 3.3344 2.3420
Er 4.5030 6.5140 2.3420